Crystalline YMg4Sc at its relaxed geometry, computed with PBE.

Cell: 5.941 5.941 5.941 Å, 60.00 60.00 60.00°
Atoms (fractional coordinates):
Y1 0.000 0.000 0.000
Mg1 0.126 0.625 0.625
Mg2 0.625 0.126 0.625
Mg3 0.625 0.625 0.126
Mg4 0.625 0.625 0.625
Sc1 0.250 0.250 0.250

Properties
For the total energy, the calculation gives -19.4 eV/cell. Its formation enthalpy at 0 K is -0.0393 eV per atom.